# Nd2Np2O7

Nd2Np2O7 after structural relaxation (GGA-PBE, the Alexandria database).

Raw formation energy in kJ/mol of formula units: -3394
E_tot in eV per atom: -9.57
SG: Fd-3m, No. 227
Total magnetic moment in μB/f.u.: 6.00

Cell: 7.800 7.800 7.800 Å, 60.00 60.00 60.00°
Atoms (fractional coordinates):
Nd (0.000, 0.000, 0.000)
Nd (0.000, 0.000, 0.500)
Nd (0.000, 0.500, 0.000)
Nd (0.500, 0.000, 0.000)
Np (0.000, 0.500, 0.500)
Np (0.500, 0.000, 0.500)
Np (0.500, 0.500, 0.000)
Np (0.500, 0.500, 0.500)
O (0.125, 0.125, 0.125)
O (0.153, 0.153, 0.597)
O (0.153, 0.597, 0.153)
O (0.153, 0.597, 0.597)
O (0.403, 0.403, 0.847)
O (0.403, 0.847, 0.403)
O (0.403, 0.847, 0.847)
O (0.597, 0.153, 0.153)
O (0.597, 0.153, 0.597)
O (0.597, 0.597, 0.153)
O (0.847, 0.403, 0.403)
O (0.847, 0.403, 0.847)
O (0.847, 0.847, 0.403)
O (0.875, 0.875, 0.875)

=====

# NdNp2O8

NdNp2O8 after structural relaxation (GGA-PBE, the Alexandria database).

Raw formation energy in kJ/mol of formula units: -2665
E_tot in eV per atom: -8.90
SG: P-3m1, No. 164
Total magnetic moment in μB/f.u.: 1.02

Cell: 7.051 7.051 4.233 Å, 90.00 90.00 120.00°
Atoms (fractional coordinates):
Nd (0.000, 0.000, 0.000)
Np (0.333, 0.667, 0.258)
Np (0.667, 0.333, 0.742)
O (0.174, 0.348, 0.256)
O (0.174, 0.826, 0.256)
O (0.333, 0.667, 0.760)
O (0.348, 0.174, 0.744)
O (0.652, 0.826, 0.256)
O (0.667, 0.333, 0.240)
O (0.826, 0.174, 0.744)
O (0.826, 0.652, 0.744)

=====

# NdNp2O6

NdNp2O6 after structural relaxation (GGA-PBE, the Alexandria database).

Raw formation energy in kJ/mol of formula units: -2763
E_tot in eV per atom: -9.89
SG: P-3m1, No. 164
Total magnetic moment in μB/f.u.: 5.00

Cell: 3.870 3.870 9.307 Å, 90.00 90.00 120.00°
Atoms (fractional coordinates):
Nd (0.000, 0.000, 0.000)
Np (0.333, 0.667, 0.664)
Np (0.667, 0.333, 0.336)
O (0.000, 0.000, 0.272)
O (0.000, 0.000, 0.728)
O (0.333, 0.667, 0.421)
O (0.333, 0.667, 0.897)
O (0.667, 0.333, 0.103)
O (0.667, 0.333, 0.579)

=====

# Nd3NpO7

Nd3NpO7 after structural relaxation (GGA-PBE, the Alexandria database).

Raw formation energy in kJ/mol of formula units: -3507
E_tot in eV per atom: -8.94
SG: Cmcm, No. 63
Total magnetic moment in μB/f.u.: 2.00

Cell: 6.781 6.781 7.943 Å, 90.00 90.00 109.85°
Atoms (fractional coordinates):
Nd (0.000, 0.000, 0.000)
Nd (0.000, 0.000, 0.500)
Nd (0.033, 0.502, 0.750)
Nd (0.498, 0.967, 0.750)
Nd (0.502, 0.033, 0.250)
Nd (0.967, 0.498, 0.250)
Np (0.500, 0.500, 0.000)
Np (0.500, 0.500, 0.500)
O (0.131, 0.869, 0.250)
O (0.133, 0.867, 0.750)
O (0.172, 0.419, 0.029)
O (0.172, 0.419, 0.471)
O (0.415, 0.585, 0.750)
O (0.419, 0.172, 0.529)
O (0.419, 0.172, 0.971)
O (0.581, 0.828, 0.029)
O (0.581, 0.828, 0.471)
O (0.585, 0.415, 0.250)
O (0.828, 0.581, 0.529)
O (0.828, 0.581, 0.971)
O (0.867, 0.133, 0.250)
O (0.869, 0.131, 0.750)

=====

# NdNp4O12

NdNp4O12 after structural relaxation (GGA-PBE, the Alexandria database).

Raw formation energy in kJ/mol of formula units: -4840
E_tot in eV per atom: -9.78
SG: I4/mmm, No. 139
Total magnetic moment in μB/f.u.: 7.00

Cell: 7.185 7.185 7.185 Å, 108.77 108.77 110.89°
Atoms (fractional coordinates):
Nd (0.000, 0.000, 0.000)
Np (0.000, 0.000, 0.500)
Np (0.000, 0.500, 0.000)
Np (0.500, 0.000, 0.000)
Np (0.500, 0.500, 0.500)
O (0.042, 0.807, 0.235)
O (0.193, 0.428, 0.235)
O (0.193, 0.958, 0.765)
O (0.285, 0.285, 0.570)
O (0.285, 0.715, 0.000)
O (0.428, 0.193, 0.235)
O (0.572, 0.807, 0.765)
O (0.715, 0.285, 0.000)
O (0.715, 0.715, 0.430)
O (0.807, 0.042, 0.235)
O (0.807, 0.572, 0.765)
O (0.958, 0.193, 0.765)

=====

# NdNpO5

NdNpO5 after structural relaxation (GGA-PBE, the Alexandria database).

Raw formation energy in kJ/mol of formula units: -1971
E_tot in eV per atom: -8.99
SG: C2/c, No. 15
Total magnetic moment in μB/f.u.: 0.00

Cell: 5.800 5.800 8.218 Å, 110.71 110.71 70.53°
Atoms (fractional coordinates):
Nd (0.046, 0.954, 0.750)
Nd (0.954, 0.046, 0.250)
Np (0.500, 0.500, 0.000)
Np (0.500, 0.500, 0.500)
O (0.198, 0.790, 0.033)
O (0.210, 0.802, 0.467)
O (0.267, 0.287, 0.386)
O (0.287, 0.267, 0.886)
O (0.400, 0.600, 0.750)
O (0.600, 0.400, 0.250)
O (0.713, 0.733, 0.114)
O (0.733, 0.713, 0.614)
O (0.790, 0.198, 0.533)
O (0.802, 0.210, 0.967)

=====

What did the sixth record say?
# NdNpO5

NdNpO5 after structural relaxation (GGA-PBE, the Alexandria database).

Raw formation energy in kJ/mol of formula units: -1971
E_tot in eV per atom: -8.99
SG: C2/c, No. 15
Total magnetic moment in μB/f.u.: 0.00

Cell: 5.800 5.800 8.218 Å, 110.71 110.71 70.53°
Atoms (fractional coordinates):
Nd (0.046, 0.954, 0.750)
Nd (0.954, 0.046, 0.250)
Np (0.500, 0.500, 0.000)
Np (0.500, 0.500, 0.500)
O (0.198, 0.790, 0.033)
O (0.210, 0.802, 0.467)
O (0.267, 0.287, 0.386)
O (0.287, 0.267, 0.886)
O (0.400, 0.600, 0.750)
O (0.600, 0.400, 0.250)
O (0.713, 0.733, 0.114)
O (0.733, 0.713, 0.614)
O (0.790, 0.198, 0.533)
O (0.802, 0.210, 0.967)